{"formula": "LaAsNF2", "functional": "GGA-PBE", "state": "optimized geometry", "cell": [[4.5569, 0.0000, 0.0000], [0.0000, 4.5569, 0.0000], [0.0000, 0.0000, 5.1429]], "species": ["La", "As", "N", "F", "F"], "fractional_positions": [[0.0000, 0.0000, 0.0000], [0.5000, 0.5000, 0.5000], [0.0000, 0.0000, 0.5000], [0.0000, 0.5000, 0.0000], [0.5000, 0.0000, 0.0000]], "total_magnetization_mub_per_fu": 0.99, "n_ef_per_ev_cell": 1.0, "volume_a3_per_atom": 21.4, "raw_formation_energy_kcal_per_mol_atoms": -29.218, "rho_g_cm3": 4.13}